(1)
First-principles (PBE) data for crystalline VP2AuCl at its relaxed geometry, as listed in Alexandria.

Calculated values
The value obtained for the final energy is -0.138 Ha/atom. The space group is P4/mmm (123). The calculation puts the raw formation energy at 1246 meV per atom.

Unit cell a=4.8034 b=4.8034 c=4.8690 alpha=90.00 beta=90.00 gamma=90.00
Positions (direct):
1 V 0.0000 0.0000 0.0000
2 P 0.0000 0.5000 0.5000
3 P 0.5000 0.0000 0.5000
4 Au 0.5000 0.5000 0.5000
5 Cl 0.5000 0.5000 0.0000


(2)
First-principles (PBE) data for crystalline VPAu2Cl at its relaxed geometry, as listed in Alexandria.

Calculated values
The value obtained for the final energy is -0.140 Ha/atom. The space group is P4/mmm (123). The calculation puts the raw formation energy at 783 meV per atom.

Unit cell a=5.1276 b=5.1276 c=4.3181 alpha=90.00 beta=90.00 gamma=90.00
Positions (direct):
1 V 0.0000 0.0000 0.0000
2 P 0.5000 0.5000 0.5000
3 Au 0.0000 0.5000 0.0000
4 Au 0.5000 0.0000 0.0000
5 Cl 0.0000 0.0000 0.5000


(3)
First-principles (PBE) data for crystalline YP2AuCl at its relaxed geometry, as listed in Alexandria.

Calculated values
The value obtained for the final energy is -0.163 Ha/atom. The space group is P4/mmm (123). The calculation puts the raw formation energy at 43 meV per atom.

Unit cell a=4.8437 b=4.8437 c=4.9055 alpha=90.00 beta=90.00 gamma=90.00
Positions (direct):
1 Y 0.0000 0.0000 0.0000
2 P 0.0000 0.5000 0.5000
3 P 0.5000 0.0000 0.5000
4 Au 0.5000 0.5000 0.5000
5 Cl 0.5000 0.5000 0.0000


(4)
First-principles (PBE) data for crystalline YP2AuCl at its relaxed geometry, as listed in Alexandria.

Calculated values
The value obtained for the final energy is -0.154 Ha/atom. The space group is P4/mmm (123). The calculation puts the raw formation energy at 287 meV per atom.

Unit cell a=5.4176 b=5.4176 c=5.0835 alpha=90.00 beta=90.00 gamma=90.00
Positions (direct):
1 Y 0.0000 0.0000 0.0000
2 P 0.0000 0.5000 0.0000
3 P 0.5000 0.0000 0.0000
4 Au 0.5000 0.5000 0.5000
5 Cl 0.0000 0.0000 0.5000


(5)
First-principles (PBE) data for crystalline YPAuCl2 at its relaxed geometry, as listed in Alexandria.

Calculated values
The value obtained for the final energy is -0.153 Ha/atom. The space group is P4/mmm (123). The calculation puts the raw formation energy at -391 meV per atom.

Unit cell a=5.2393 b=5.2393 c=5.8254 alpha=90.00 beta=90.00 gamma=90.00
Positions (direct):
1 Y 0.0000 0.0000 0.0000
2 P 0.5000 0.5000 0.5000
3 Au 0.0000 0.0000 0.5000
4 Cl 0.0000 0.5000 0.0000
5 Cl 0.5000 0.0000 0.0000


(6)
First-principles (PBE) data for crystalline YPAuCl2 at its relaxed geometry, as listed in Alexandria.

Calculated values
The value obtained for the final energy is -0.146 Ha/atom. The space group is P4/mmm (123). The calculation puts the raw formation energy at -200 meV per atom.

Unit cell a=4.8440 b=4.8440 c=5.1940 alpha=90.00 beta=90.00 gamma=90.00
Positions (direct):
1 Y 0.0000 0.0000 0.0000
2 P 0.5000 0.5000 0.0000
3 Au 0.5000 0.5000 0.5000
4 Cl 0.0000 0.5000 0.5000
5 Cl 0.5000 0.0000 0.5000